The following is a DFT calculation (GGA-PBE) of Ac6CdIr2 after structural relaxation.

```
Ac6CdIr2
1.0
-2.5293 -4.9012 -2.1955
4.3421 2.3916 -2.3159
7.9052 -6.8932 6.2812
Ir Ac Cd
2 6 1
direct
0.3386 0.6771 0.1555
0.6614 0.3229 0.8445
0.6518 0.3036 0.6103
0.3306 0.6611 0.9170
0.6694 0.3389 0.0830
0.9910 0.9820 0.7877
0.3482 0.6964 0.3897
0.0090 0.0180 0.2123
0.0000 0.0000 0.5000
```

- calculated formation energy (eV/atom) = -0.282
- D(E_F) (states/eV per cell) = 11.71
- E (eV per cell) = -45.83
- E above lowest polymorph (meV/atom) = 116
- space group = C2/m, No. 12